Compound: Tb4NdHo15
Source: the Alexandria database
Functional: GGA-PBE
Structure: relaxed

Computed properties:
Total magnetization   0.00 μB/f.u.
Symmetry   P4/mmm
Energy of formation from the pure elements   0.39 eV/f.u.

a = 5.0052 Å, b = 5.0052 Å, c = 25.0051 Å
α = 90.00°, β = 90.00°, γ = 90.00°
Sites, in units of the cell vectors:
1 Tb 0.0000 0.0000 0.0997
2 Tb 0.0000 0.0000 0.2992
3 Tb 0.0000 0.0000 0.7008
4 Tb 0.0000 0.0000 0.9003
5 Nd 0.0000 0.0000 0.5000
6 Ho 0.0000 0.5000 0.0000
7 Ho 0.0000 0.5000 0.1994
8 Ho 0.0000 0.5000 0.3987
9 Ho 0.0000 0.5000 0.6013
10 Ho 0.0000 0.5000 0.8006
11 Ho 0.5000 0.0000 0.0000
12 Ho 0.5000 0.0000 0.1994
13 Ho 0.5000 0.0000 0.3987
14 Ho 0.5000 0.0000 0.6013
15 Ho 0.5000 0.0000 0.8006
16 Ho 0.5000 0.5000 0.0998
17 Ho 0.5000 0.5000 0.2989
18 Ho 0.5000 0.5000 0.5000
19 Ho 0.5000 0.5000 0.7011
20 Ho 0.5000 0.5000 0.9002